Computed, not measured: crystalline Ac2Sm5Dy at its relaxed geometry at the PBE level of DFT.

Properties
**Magnetic moment**: 0.000 μB/cell
**Formation energy**: 4 kJ per mole of atoms
**D(E_F)**: 13.310 states/eV/f.u.

The structure in POSCAR format:
```
Ac2Sm5Dy
1.0
-2.637 2.637 10.370
2.637 -2.637 10.370
2.637 2.637 -10.370
Ac Sm Dy
2 5 1
direct
0.250 0.250 0.000
0.750 0.750 0.000
0.000 0.000 0.000
0.119 0.619 0.500
0.381 0.881 0.500
0.619 0.119 0.500
0.881 0.381 0.500
0.500 0.500 0.000
```